# 1
{"formula": "Li2BiPd", "functional": "GGA-PBE", "state": "relaxed", "lattice_angstrom": [[-3.7858, 3.7858, 2.7492], [3.7858, -3.7858, 2.7492], [3.7858, 3.7858, -2.7492]], "species": ["Li", "Li", "Li", "Li", "Bi", "Bi", "Pd", "Pd"], "fractional_positions": [[0.0865, 0.6250, 0.9615], [0.3750, 0.3365, 0.4615], [0.6635, 0.1250, 0.0385], [0.8750, 0.9135, 0.5385], [0.2500, 0.7500, 0.5000], [0.5000, 0.5000, 0.0000], [0.0000, 0.0000, 0.0000], [0.7500, 0.2500, 0.5000]], "spacegroup": "I-42d (122)", "m_tot_mub_per_atom": 0.000, "rho_g_cm3": 6.939, "energy_ev_per_atom": -3.464, "crystal_system": "tetragonal"}

# 2
{"formula": "Ti2Ni2Au", "functional": "GGA-PBE", "state": "relaxed", "lattice_angstrom": [[7.3843, 0.0000, 0.0000], [0.0000, 7.3843, 0.0000], [0.0000, 0.0000, 2.7310]], "species": ["Ti", "Ti", "Ti", "Ti", "Ni", "Ni", "Ni", "Ni", "Au", "Au"], "fractional_positions": [[0.1543, 0.3457, 0.0000], [0.3457, 0.8457, 0.0000], [0.6543, 0.1543, 0.0000], [0.8457, 0.6543, 0.0000], [0.1346, 0.6346, 0.5000], [0.3654, 0.1346, 0.5000], [0.6346, 0.8654, 0.5000], [0.8654, 0.3654, 0.5000], [0.0000, 0.0000, 0.0000], [0.5000, 0.5000, 0.0000]], "spacegroup": "P4/mbm (127)", "m_tot_mub_per_atom": 0.000, "polymorph_energy_mev_per_atom": 280, "rho_g_cm3": 9.146, "energy_ev_per_atom": -6.300, "crystal_system": "tetragonal"}

# 3
{"formula": "Ac2HoSn3Pd6", "functional": "GGA-PBE", "state": "relaxed", "lattice_angstrom": [[4.2628, 0.0000, 0.0000], [0.0000, 4.2628, 0.0000], [0.0000, 0.0000, 17.3564]], "species": ["Ac", "Ac", "Ho", "Sn", "Sn", "Sn", "Pd", "Pd", "Pd", "Pd", "Pd", "Pd"], "fractional_positions": [[0.0000, 0.0000, 0.1855], [0.0000, 0.0000, 0.8145], [0.0000, 0.0000, 0.5000], [0.5000, 0.5000, 0.0000], [0.5000, 0.5000, 0.3012], [0.5000, 0.5000, 0.6988], [0.0000, 0.5000, 0.3914], [0.0000, 0.5000, 0.6086], [0.5000, 0.0000, 0.3914], [0.5000, 0.0000, 0.6086], [0.5000, 0.5000, 0.1472], [0.5000, 0.5000, 0.8528]], "spacegroup": "P4/mmm (123)", "m_tot_mub_per_atom": 0.000, "rho_g_cm3": 8.496, "energy_ev_per_atom": -5.232, "crystal_system": "tetragonal"}

# 4
{"formula": "Y3MgSi", "functional": "GGA-PBE", "state": "relaxed", "lattice_angstrom": [[5.4453, 0.0000, 0.0000], [0.0000, 5.4453, 0.0000], [0.0000, 0.0000, 5.4453]], "species": ["Y", "Y", "Y", "Mg", "Si"], "fractional_positions": [[0.0000, 0.0000, 0.5000], [0.0000, 0.5000, 0.0000], [0.5000, 0.0000, 0.0000], [0.5000, 0.5000, 0.5000], [0.0000, 0.0000, 0.0000]], "spacegroup": "Pm-3m (221)", "m_tot_mub_per_atom": 0.266, "polymorph_energy_mev_per_atom": 0, "rho_g_cm3": 3.282, "energy_ev_per_atom": -5.386, "crystal_system": "cubic"}

# 5
{"formula": "PmNdNbN3", "functional": "GGA-PBE", "state": "relaxed", "lattice_angstrom": [[7.4461, 0.0000, 0.0000], [0.0000, 3.6262, 0.0000], [-1.0575, 0.0000, 8.3771]], "species": ["Pm", "Pm", "Nd", "Nd", "Nb", "Nb", "N", "N", "N", "N", "N", "N"], "fractional_positions": [[0.1613, 0.2500, 0.1364], [0.8387, 0.7500, 0.8636], [0.3765, 0.7500, 0.8394], [0.6235, 0.2500, 0.1606], [0.0824, 0.2500, 0.6116], [0.9176, 0.7500, 0.3884], [0.0940, 0.2500, 0.8512], [0.1720, 0.7500, 0.5419], [0.3868, 0.7500, 0.1237], [0.6132, 0.2500, 0.8763], [0.8280, 0.2500, 0.4581], [0.9060, 0.7500, 0.1488]], "spacegroup": "P2_1/m (11)", "m_tot_mub_per_atom": 0.000, "rho_g_cm3": 6.228, "energy_ev_per_atom": -8.448, "crystal_system": "monoclinic"}

# 6
{"formula": "ScCu2Ru", "functional": "GGA-PBE", "state": "relaxed", "lattice_angstrom": [[0.0000, 3.0828, 3.0828], [3.0828, 0.0000, 3.0828], [3.0828, 3.0828, 0.0000]], "species": ["Sc", "Cu", "Cu", "Ru"], "fractional_positions": [[0.0000, 0.0000, 0.0000], [0.5000, 0.5000, 0.5000], [0.7500, 0.7500, 0.7500], [0.2500, 0.2500, 0.2500]], "spacegroup": "F-43m (216)", "m_tot_mub_per_atom": 0.000, "polymorph_energy_mev_per_atom": 145, "rho_g_cm3": 7.740, "energy_ev_per_atom": -6.007, "crystal_system": "cubic"}

Copy entry 4 word for word.
{"formula": "Y3MgSi", "functional": "GGA-PBE", "state": "relaxed", "lattice_angstrom": [[5.4453, 0.0000, 0.0000], [0.0000, 5.4453, 0.0000], [0.0000, 0.0000, 5.4453]], "species": ["Y", "Y", "Y", "Mg", "Si"], "fractional_positions": [[0.0000, 0.0000, 0.5000], [0.0000, 0.5000, 0.0000], [0.5000, 0.0000, 0.0000], [0.5000, 0.5000, 0.5000], [0.0000, 0.0000, 0.0000]], "spacegroup": "Pm-3m (221)", "m_tot_mub_per_atom": 0.266, "polymorph_energy_mev_per_atom": 0, "rho_g_cm3": 3.282, "energy_ev_per_atom": -5.386, "crystal_system": "cubic"}